[1]
The following is a DFT calculation (PBE) of crystalline PrSm6DyEr2 at its relaxed geometry.

Computed properties:
Space-group type: C2/c, No. 15
Magnetic moment: 0.001 Bohr magnetons per cell
N(E_F): 28.92 states/eV per cell
E_tot: -91.3 eV per cell

```
20
Lattice="9.1791 -1.9337 -2.0068 0.8346 8.6258 -1.9753 0.8346 -2.2936 8.5467" Properties=species:S:1:pos:R:3 pbc="T T T"
Pr 3.1293 7.8129 -2.1595
Pr 7.7189 -3.4145 6.7241
Sm 1.2396 -0.8421 6.1322
Sm 5.0191 -0.7939 6.1823
Sm 9.6086 5.2406 -1.5676
Sm 5.8292 5.1923 -1.6177
Sm 4.1004 6.9138 1.1741
Sm 2.1583 4.4482 -1.3846
Sm 6.7478 -2.5153 3.3904
Sm 8.6899 -0.0498 5.9491
Sm 2.0722 4.7559 2.5138
Sm 4.1865 3.0295 0.7222
Sm 8.7760 -0.3574 2.0508
Sm 6.6618 1.3690 3.8424
Dy 3.1293 1.7043 3.7268
Dy 7.7189 2.6942 0.8378
Er 5.3899 4.4069 3.4823
Er 0.8688 2.0487 1.0351
Er 5.4583 -0.0085 1.0823
Er 9.9794 2.3497 3.5295
```

=====

[2]
The following is a DFT calculation (PBE) of crystalline Pr2Sm6DyEr3 at its relaxed geometry.

Computed properties:
Space-group type: C2/m, No. 12
Magnetic moment: 0.001 Bohr magnetons per cell
N(E_F): 15.67 states/eV per cell
E_tot: -56.0 eV per cell

```
12
Lattice="6.2484 -0.0005 0.0041 -3.1231 5.4119 0.0041 -1.0478 -1.8142 11.7436" Properties=species:S:1:pos:R:3 pbc="T T T"
Pr 0.0008 3.6077 0.0041
Pr 3.1245 1.8037 0.0041
Sm 3.1163 1.8021 8.7625
Sm 2.0853 3.6107 2.9969
Sm -1.0388 1.7951 2.9894
Sm 0.0035 3.5998 8.7625
Sm -0.0078 -0.0135 8.7550
Sm 2.0740 -0.0026 2.9894
Dy 0.0000 0.0000 0.0000
Er -2.0882 3.6045 5.8759
Er 4.1658 -0.0074 5.8759
Er 1.0388 1.7986 5.8759
```

=====

[3]
The following is a DFT calculation (PBE) of crystalline Pr2SmDy6Er3 at its relaxed geometry.

Computed properties:
Space-group type: C2/m, No. 12
Magnetic moment: 0.001 Bohr magnetons per cell
N(E_F): 16.03 states/eV per cell
E_tot: -55.3 eV per cell

```
12
Lattice="6.1844 0.0003 -0.0076 -3.0904 5.3569 -0.0076 -1.0139 -1.7556 11.6385" Properties=species:S:1:pos:R:3 pbc="T T T"
Pr 0.0018 3.5710 -0.0076
Pr 3.0921 1.7862 -0.0076
Sm 0.0000 0.0000 0.0000
Dy 3.1052 1.8120 8.6621
Dy 2.0678 3.5803 2.9554
Dy -1.0251 1.7896 2.9613
Dy 0.0177 3.5952 8.6621
Dy 0.0123 0.0213 8.6679
Dy 2.0624 0.0064 2.9613
Er -2.0522 3.5867 5.8117
Er 4.1323 0.0149 5.8117
Er 1.0400 1.8008 5.8117
```

=====

[4]
The following is a DFT calculation (PBE) of crystalline Pr3SmDy6Er2 at its relaxed geometry.

Computed properties:
Space-group type: C2/m, No. 12
Magnetic moment: 0.000 Bohr magnetons per cell
N(E_F): 15.52 states/eV per cell
E_tot: -55.6 eV per cell

```
12
Lattice="-0.5674 -5.2834 3.2268 3.4898 4.6393 2.2242 -10.2912 4.5819 3.7012" Properties=species:S:1:pos:R:3 pbc="T T T"
Pr -2.3327 5.2747 4.2421
Pr -5.0361 -1.3369 4.9101
Pr -3.6844 1.9689 4.5761
Sm 0.0000 0.0000 0.0000
Dy -6.2458 1.3161 7.0514
Dy -0.3423 0.6441 4.9891
Dy -1.1231 2.6216 2.1009
Dy -4.8913 4.6287 6.7167
Dy -7.0265 3.2937 4.1631
Dy -2.4775 -0.6910 2.4355
Er 2.1377 1.3324 2.5583
Er 0.7847 -1.9765 2.8927
```